The following is a DFT calculation (GGA-PBE) of a relaxed LiLa2YRh crystal.

Values from the calculation:
Size of the total moment, μB per formula unit: 0.00
Crystal system: tetragonal
Total energy, eV per atom: -5.3294
Formation energy from the elements, eV per atom: -0.213

Lattice parameters (Å, degrees): 5.593 5.593 5.533 90.00 90.00 90.00
Positions (direct):
Li 0.000 0.000 0.000
La 0.000 0.500 0.500
La 0.500 0.000 0.500
Y 0.500 0.500 0.000
Rh 0.500 0.500 0.500